1.
VASP calculation (PBE) on a geometry-optimized LiSn2Au3 structure.

a b c (Å): 5.0904 13.5499 7.1823
angles (deg): 90.00 101.01 90.00
Last column: nearest neighbours and their distance in Å.
Space group C2/c (No. 15)
Unique sites:
Li 0.0000 0.1593 0.2500  6 Au 2.77-2.81
Sn 0.0000 0.1852 0.7500  8 Au 2.95-3.09, 2 Li 3.30
Sn 0.0000 0.4714 0.7500  6 Au 2.85-3.02, 2 Li 3.10
Au 0.0000 0.0000 0.0000  2 Li 2.81, 4 Sn 2.85-3.09
Au 0.0556 0.3340 0.4600  2 Li 2.77-2.79, 5 Sn 2.85-3.02, 2 Au 2.96-3.00

VASP energy ... -3.56 eV/atom
Energy relative to the lowest polymorph listed for this composition ... 0.0 kJ/mol of atoms
Energy of formation ... -265 meV/atom
DOS at the Fermi energy ... 6.3 states/eV/cell

2.
VASP calculation (PBE) on a geometry-optimized SiNF2 structure.

a b c (Å): 2.5973 2.5973 21.5512
angles (deg): 90.00 90.00 120.00
Last column: nearest neighbours and their distance in Å.
Space group R-3m (No. 166, hexagonal axes)
Unique sites:
Si 0.0000 0.0000 0.0000  6 F 2.33, 6 Si 2.60
N 0.0000 0.0000 0.5000  2 F 1.80
F 0.0000 0.0000 0.4164  1 N 1.80

VASP energy ... -3.86 eV/atom
Energy relative to the lowest polymorph listed for this composition ... 55.3 kJ/mol of atoms
Uncorrected formation energy ... 0.513 eV/atom
DOS at the Fermi energy ... 3.8 states/eV/cell